Record 1
VS3Br | PBE | relaxed

Structure (extended XYZ):
```
5
Lattice="-4.155 1.966 -0.096 -1.335 -2.649 3.513 1.447 3.203 2.965" Properties=species:S:1:pos:R:3 pbc="T T T"
S -0.667 -1.324 1.757
S 0.723 1.602 1.482
S -2.078 0.983 -0.048
Br -2.022 1.260 3.191
V 0.000 0.000 0.000
```

Results
D(E_F)   5.7 states/eV/cell
Space group   No. 221
E above lowest polymorph   498 meV/atom


Record 2
VSBr | PBE | relaxed

Structure (extended XYZ):
```
3
Lattice="3.606 0.000 0.000 -1.803 3.123 0.000 0.000 0.000 6.365" Properties=species:S:1:pos:R:3 pbc="T T T"
S 0.000 0.000 0.845
Br 0.000 2.082 3.611
V 1.803 1.041 1.909
```

Results
D(E_F)   2.7 states/eV/cell
Space group   No. 156


Record 3
VSBr2 | PBE | relaxed

Structure (extended XYZ):
```
4
Lattice="-9.573 -1.045 4.017 -7.948 -0.314 6.753 -9.025 2.076 4.806" Properties=species:S:1:pos:R:3 pbc="T T T"
S 0.000 0.000 0.000
Br -23.580 0.637 13.837
Br -2.965 0.080 1.740
V -13.273 0.359 7.788
```

Results
D(E_F)   3.3 states/eV/cell
Space group   No. 166
E above lowest polymorph   0 meV/atom


| no. | total magnetization (μB per formula unit) | E_form (uncorrected) (eV per atom) |
| --- | --- | --- |
| 1 | 0.00 | 0.041 |
| 2 | 2.00 | -0.826 |
| 3 | 0.77 | 0.114 |